Density functional theory data (PBE+U) for a relaxed structure of Cs2Cr4CdH4O16.

Unit cell a=7.7813 b=8.1250 c=8.1532 alpha=91.18 beta=117.91 gamma=97.42
Atoms (fractional coordinates):
Cs  0.2413  0.3339  0.2570
Cs  0.7587  0.6661  0.7430
Cr  0.2092  0.3494  0.7587
Cr  0.2379  0.8337  0.4951
Cr  0.7621  0.1663  0.5049
Cr  0.7908  0.6506  0.2413
Cd  0.5000  0.0000  0.0000
H  0.2562  0.6983  0.9747
H  0.3050  0.7932  0.1661
H  0.6950  0.2068  0.8339
H  0.7438  0.3017  0.0253
O  0.0104  0.7150  0.4563
O  0.1686  0.4910  0.8781
O  0.1979  0.0144  0.4213
O  0.2729  0.1892  0.8837
O  0.2742  0.8114  0.0352
O  0.3251  0.7372  0.3784
O  0.3780  0.4262  0.7068
O  0.3974  0.8508  0.7206
O  0.6026  0.1492  0.2794
O  0.6220  0.5738  0.2932
O  0.6749  0.2628  0.6216
O  0.7258  0.1886  0.9648
O  0.7271  0.8108  0.1163
O  0.8021  0.9856  0.5787
O  0.8314  0.5090  0.1219
O  0.9896  0.2850  0.5437

Calculated values
* space-group type: P-1, No. 2
* energy: -5.94 eV/atom
* crystal system: triclinic
* volume: 450 Å³/cell